A plane-wave DFT calculation with PBE was carried out for a relaxed structure of ZrTlCuRe.

## Properties
- Energy above the lowest structure with this stoichiometry: 0 meV/atom

a = 6.612 Å, b = 6.612 Å, c = 6.612 Å
α = 90.00°, β = 90.00°, γ = 90.00°
Space group F-43m (No. 216)
Unique sites:
1 Zr 0.000 0.000 0.000 x4
2 Tl 0.000 0.000 0.500 x4
3 Cu 0.250 0.250 0.750 x4
4 Re 0.250 0.250 0.250 x4

A plane-wave DFT calculation with PBE was carried out for a relaxed structure of Ho3NiSnPt2Pb2.

## Properties
- Uncorrected energy: -5.588 eV/atom

a = 3.813 Å, b = 13.385 Å, c = 7.680 Å
α = 90.00°, β = 90.00°, γ = 90.00°
Space group Amm2 (No. 38)
Unique sites:
1 Ho 0.000 0.000 0.000 x2
2 Ho 0.000 0.200 0.391 x4
3 Ni 0.000 0.000 0.580 x2
4 Sn 0.500 0.000 0.340 x2
5 Pt 0.500 0.163 0.101 x4
6 Pb 0.500 0.127 0.720 x4